3
Lattice="-2.541 2.812 2.825 3.085 -3.057 1.864 2.020 1.958 -0.132" Properties=species:S:1:pos:R:3 comment="AlTlMo (PBE, relaxed)" de_polymorph_mev_per_atom=139.3 e_form_ev_per_atom=0.57 sg="P3m1 (156)" total_energy_ev_per_atom=-5.079 pbc="T T T"
Tl 2.897 0.534 2.074
Al 1.681 1.630 -0.110
Mo 0.007 1.507 2.461